Material: AcDyHoHg
Method: DFT, PBE-GGA
State: relaxed

Geometry as POSCAR:
```
AcDyHoHg
1.0
5.5624 0.0000 0.0000
2.7812 4.8171 0.0000
2.7812 1.6057 4.5416
Ac Dy Hg Ho
1 1 1 1
direct
0.2500 0.2500 0.2500
0.5000 0.5000 0.5000
0.7500 0.7500 0.7500
0.0000 0.0000 0.0000
```

Computed properties:
Symmetry: F-43m, No. 216
Mass density, g/cm³: 10.3

=====

Material: AcDyIn2Hg2
Method: DFT, PBE-GGA
State: relaxed

Geometry as POSCAR:
```
AcDyIn2Hg2
1.0
-3.8218 -0.7575 3.0633
-0.7384 0.1269 -4.8992
1.2287 -7.7612 -0.3862
Ac Dy In Hg
1 1 2 2
direct
0.0000 0.0000 0.0000
0.0000 0.0000 0.5000
0.6667 0.3333 0.7361
0.3333 0.6667 0.2639
0.6667 0.3333 0.3093
0.3333 0.6667 0.6907
```

Computed properties:
Symmetry: P-3m1, No. 164
Mass density, g/cm³: 10.1

=====

Material: AcDy2InHg4
Method: DFT, PBE-GGA
State: relaxed

Geometry as POSCAR:
```
AcDy2InHg4
1.0
-2.5305 2.9929 -3.2600
-4.9397 -0.8491 -0.9312
-4.9380 6.7723 6.0645
Ac Dy In Hg
1 2 1 4
direct
0.0000 0.0000 0.0000
0.7688 0.7688 0.6936
0.2312 0.2312 0.3064
0.5000 0.5000 0.5000
0.3906 0.3906 0.8283
0.8775 0.8775 0.3676
0.1225 0.1225 0.6324
0.6095 0.6095 0.1717
```

Computed properties:
Symmetry: R-3m, No. 166
Mass density, g/cm³: 10.9

=====

Material: AcDyHgIr
Method: DFT, PBE-GGA
State: relaxed

Geometry as POSCAR:
```
AcDyHgIr
1.0
-5.2505 -0.2672 -0.3718
-2.7297 -3.0103 3.3563
-3.0207 2.2414 3.6917
Ac Ir Hg Dy
1 1 1 1
direct
0.2500 0.2500 0.2500
0.0000 0.0000 0.0000
0.5000 0.5000 0.5000
0.7500 0.7500 0.7500
```

Computed properties:
Symmetry: F-43m, No. 216
Mass density, g/cm³: 12.5

=====

| no. | total DFT energy (no corrections) (eV/atom) | DFT formation energy (kJ/mol of atoms) |
| --- | --- | --- |
| 1 | -3.3366 | 6 |
| 2 | -2.9201 | -44 |
| 3 | -2.5600 | -39 |
| 4 | -4.9237 | -44 |